Entry 1:
Here is a relaxed structure of Ti2AlNiH from Alexandria via LeMat-Bulk. Energies are from GGA-PBE.

Its distance to the lowest polymorph of the same formula is 0.111 eV per atom.

The space group is P4/mmm (No. 123) and the conventional cell measures 3.819, 3.819 and 4.168 Å, with angles of 90.00, 90.00 and 90.00 degrees. The distinct sites, in fractional coordinates, are Ti at (0.000, 0.500, 0.000), Al at (0.000, 0.000, 0.500), Ni at (0.500, 0.500, 0.500) and H at (0.000, 0.000, 0.000).

Entry 2:
Here is a relaxed structure of Al2VNiH from Alexandria via LeMat-Bulk. Energies are from GGA-PBE.

The total energy is -26.583 eV/cell.

The space group is P4/mmm (No. 123) and the conventional cell measures 3.973, 3.973 and 3.507 Å, with angles of 90.00, 90.00 and 90.00 degrees. The distinct sites, in fractional coordinates, are Al at (0.000, 0.500, 0.000), V at (0.000, 0.000, 0.500), Ni at (0.500, 0.500, 0.500) and H at (0.000, 0.000, 0.000).

Entry 3:
Here is a relaxed structure of AlV2NiH from Alexandria via LeMat-Bulk. Energies are from GGA-PBE.

Its distance to the lowest polymorph of the same formula is 0.000 eV per atom.

The space group is P4/mmm (No. 123) and the conventional cell measures 3.639, 3.639 and 4.086 Å, with angles of 90.00, 90.00 and 90.00 degrees. The distinct sites, in fractional coordinates, are Al at (0.000, 0.000, 0.000), V at (0.000, 0.500, 0.500), Ni at (0.500, 0.500, 0.000) and H at (0.500, 0.500, 0.500).

Q: Number 1 is which compound?
A: Ti2AlNiH